The following is a PBE-GGA calculation of an optimized crystal structure of Pm4SmSc3, from Alexandria.

Volume, Å³/cell: 489.2
E above lowest polymorph, eV/f.u.: 0.000

abc: 11.182 7.158 6.112
angles: 90.00 90.00 90.00
Fractional positions:
Pm 0.000 0.137 0.000
Pm 0.000 0.863 0.476
Pm 0.241 0.133 0.639
Pm 0.259 0.867 0.139
Pm 0.500 0.137 0.976
Pm 0.500 0.863 0.500
Pm 0.741 0.867 0.139
Pm 0.759 0.133 0.639
Sm 0.000 0.618 0.973
Sm 0.500 0.382 0.473
Sc 0.000 0.388 0.477
Sc 0.249 0.613 0.647
Sc 0.251 0.387 0.147
Sc 0.500 0.612 0.977
Sc 0.749 0.387 0.147
Sc 0.751 0.613 0.647